Entry 1:
VASP calculation (PBE) on an optimized crystal structure of Sr5SiI5.

The calculation puts the total magnetization at 0.00 μB/cell. The total energy is -3.223 eV/atom. The formation energy from raw total energies is -1261 meV per atom. Its space group is C2/m.

The structure in CIF format:
```
data_Sr5SiI5
_space_group_name_H-M_alt 'P 1'
_space_group_IT_number 1
_cell_length_a 6.607
_cell_length_b 8.299
_cell_length_c 9.508
_cell_angle_alpha 107.30
_cell_angle_beta 90.00
_cell_angle_gamma 113.46
loop_
_space_group_symop_operation_xyz
'x,y,z'
loop_
_atom_site_label
_atom_site_fract_x
_atom_site_fract_y
_atom_site_fract_z
Sr1 0.148 0.297 0.851
Sr2 0.853 0.706 0.698
Sr3 0.852 0.703 0.149
Sr4 0.147 0.294 0.302
Sr5 0.500 0.000 0.000
I1 0.333 0.666 0.176
I2 0.686 0.372 0.339
I3 0.667 0.334 0.824
I4 0.000 0.000 0.500
I5 0.314 0.628 0.661
Si1 0.000 0.000 0.000
```



Entry 2:
VASP calculation (PBE) on an optimized crystal structure of SrSiTeI2.

The calculation puts the total magnetization at 0.00 μB/cell. The total energy is -3.199 eV/atom. The formation energy from raw total energies is -529 meV per atom. Its space group is P4/mmm.

The structure in CIF format:
```
data_SrSiTeI2
_space_group_name_H-M_alt 'P 1'
_space_group_IT_number 1
_cell_length_a 5.565
_cell_length_b 5.565
_cell_length_c 5.693
_cell_angle_alpha 90.00
_cell_angle_beta 90.00
_cell_angle_gamma 90.00
loop_
_space_group_symop_operation_xyz
'x,y,z'
loop_
_atom_site_label
_atom_site_fract_x
_atom_site_fract_y
_atom_site_fract_z
Si1 0.000 0.000 0.000
Sr1 0.500 0.500 0.500
Te1 0.000 0.000 0.500
I1 0.000 0.500 0.000
I2 0.500 0.000 0.000
```



Entry 3:
VASP calculation (PBE) on an optimized crystal structure of SrSiTeI2.

The calculation puts the total magnetization at 0.18 μB/cell. The total energy is -2.532 eV/atom. The formation energy from raw total energies is 137 meV per atom. Its space group is P4/mmm.

The structure in CIF format:
```
data_SrSiTeI2
_space_group_name_H-M_alt 'P 1'
_space_group_IT_number 1
_cell_length_a 6.131
_cell_length_b 6.131
_cell_length_c 6.505
_cell_angle_alpha 90.00
_cell_angle_beta 90.00
_cell_angle_gamma 90.00
loop_
_space_group_symop_operation_xyz
'x,y,z'
loop_
_atom_site_label
_atom_site_fract_x
_atom_site_fract_y
_atom_site_fract_z
Si1 0.500 0.500 0.500
I1 0.500 0.000 0.000
I2 0.000 0.500 0.000
Sr1 0.000 0.000 0.000
Te1 0.000 0.000 0.500
```



So what do the calculations give for D(E_F)? Going down the list: 0.382 0.181 0.999 states/eV/atom.